Entry 1:
Gd2PaCl: optimized geometry, PBE.

Computed properties:
**Total DFT energy (no corrections)**: -0.3748 hartree per atom
**Uncorrected formation energy**: -0.32 eV per atom
**Magnetic moment**: 14.1 μB/f.u.

Cell lengths 3.3005, 3.3005, 32.7738 Å; angles 90.00, 90.00, 120.00 degrees
Space group R-3m (No. 166, hexagonal axes)
Symmetry-distinct sites (fractional):
Gd: 0.0000 0.0000 0.0979 x6
Pa: 0.0000 0.0000 0.0000 x3
Cl: 0.0000 0.0000 0.5000 x3

=====

Entry 2:
Ba2BeInB: optimized geometry, PBE.

Computed properties:
**Energy of formation**: 0.2265 eV per atom
**Total DFT energy (no corrections)**: -0.1165 hartree per atom
**Magnetic moment**: 0.0 μB/f.u.

Cell lengths 6.260, 6.260, 3.690 Å; angles 90.00, 90.00, 90.00 degrees
Space group P4/mmm (No. 123)
Symmetry-distinct sites (fractional):
Ba: 0.000 0.500 0.000 x2
Be: 0.000 0.000 0.000 x1
In: 0.500 0.500 0.500 x1
B: 0.000 0.000 0.500 x1